Here is a relaxed Np2NiAgO8 crystal from Alexandria via LeMat-Bulk. Energies are from PBE+U.

E (eV/atom): -7.822

Cell and atoms, written as CIF:
```
data_Np2NiAgO8
_chemical_formula_sum 'Np4 Ni2 Ag2 O16'
_space_group_name_H-M_alt 'I -4 m 2'
_space_group_IT_number 119
_space_group_name_Hall 'I -4 -2'
_cell_length_a 6.561
_cell_length_b 6.561
_cell_length_c 7.597
_cell_angle_alpha 90.00
_cell_angle_beta 90.00
_cell_angle_gamma 90.00
loop_
_atom_site_label
_atom_site_type_symbol
_atom_site_fract_x
_atom_site_fract_y
_atom_site_fract_z
Np1 Np 0.000 0.000 0.000
Np2 Np 0.000 0.500 0.250
Ni1 Ni 0.000 0.000 0.500
Ag1 Ag 0.000 0.500 0.750
O1 O 0.000 0.197 0.302
O2 O 0.000 0.295 0.979
```